[1]
Computed, not measured: an optimized crystal structure of Sr2YAs at the GGA-PBE level of DFT.

abc: 10.7465 10.7465 10.7465
angles: 22.62 22.62 22.62
Last column: nearest neighbours and their distance in Å.
Atoms (fractional coordinates):
Sr 0.0000 0.0000 0.0000  3 Y 4.14, 9 Sr 4.22-4.44
Sr 0.2150 0.2150 0.2150  3 As 3.13
Y 0.7734 0.7734 0.7734  3 As 2.83
As 0.4858 0.4858 0.4858  3 Y 2.83, 3 Sr 3.13



[2]
Computed, not measured: an optimized crystal structure of Sm2CuSi3Pt4 at the GGA-PBE level of DFT.

abc: 4.2589 4.2589 9.8665
angles: 90.00 90.00 90.00
Last column: nearest neighbours and their distance in Å.
Atoms (fractional coordinates):
Sm 0.0000 0.5000 0.2404  2 Cu 3.19, 6 Si 3.19-3.27, 8 Pt 3.20-3.33
Sm 0.5000 0.0000 0.7596  2 Cu 3.19, 6 Si 3.19-3.27, 8 Pt 3.20-3.33
Cu 0.5000 0.5000 0.0000  4 Pt 2.49
Si 0.0000 0.0000 0.0000  4 Pt 2.49
Si 0.0000 0.5000 0.6300  5 Pt 2.35-2.49
Si 0.5000 0.0000 0.3700  5 Pt 2.35-2.49
Pt 0.0000 0.0000 0.5000  4 Si 2.49
Pt 0.0000 0.5000 0.8687  3 Si 2.35-2.49, 2 Cu 2.49
Pt 0.5000 0.0000 0.1313  3 Si 2.35-2.49, 2 Cu 2.49
Pt 0.5000 0.5000 0.5000  4 Si 2.49

Output
ΔE_f (raw), meV/atom: -1012



[3]
Computed, not measured: an optimized crystal structure of Cs2TeRh at the GGA-PBE level of DFT.

abc: 9.4825 9.4825 9.4825
angles: 94.05 94.05 149.18
Last column: nearest neighbours and their distance in Å.
Atoms (fractional coordinates):
Cs 0.3750 0.2049 0.3299  2 Rh 3.45
Cs 0.7951 0.1250 0.1701  2 Rh 3.45
Cs 0.8750 0.0451 0.6701  2 Rh 3.45
Cs 0.9549 0.6250 0.8299  2 Rh 3.45
Te 0.2500 0.7500 0.5000  2 Rh 2.52
Te 0.5000 0.5000 0.0000  2 Rh 2.52
Rh 0.0000 0.0000 0.0000  2 Te 2.52
Rh 0.7500 0.2500 0.5000  2 Te 2.52

Output
Distance to the lowest polymorph of the same formula, meV/atom: 0
ΔE_f (raw), meV/atom: -273



[4]
Computed, not measured: an optimized crystal structure of LaU6Se8 at the GGA-PBE level of DFT.

abc: 7.4369 7.4369 7.4369
angles: 94.28 94.28 94.28
Last column: nearest neighbours and their distance in Å.
Atoms (fractional coordinates):
La 0.0000 0.0000 0.0000  8 Se 3.14-3.29
U 0.2215 0.5161 0.5700  2 U 2.55, 2 Se 2.81-2.84
U 0.4300 0.7785 0.4839  2 U 2.55, 2 Se 2.81-2.84
U 0.4839 0.4300 0.7785  2 U 2.55, 2 Se 2.81-2.84
U 0.5161 0.5700 0.2215  2 U 2.55, 2 Se 2.81-2.84
U 0.5700 0.2215 0.5161  2 U 2.55, 2 Se 2.81-2.84
U 0.7785 0.4839 0.4300  2 U 2.55, 2 Se 2.81-2.84
Se 0.0484 0.7446 0.3401  3 U 2.81-2.94
Se 0.2554 0.6599 0.9516  3 U 2.81-2.94
Se 0.2645 0.2645 0.2645  3 U 2.89, 1 La 3.14
Se 0.3401 0.0484 0.7446  3 U 2.81-2.94
Se 0.6599 0.9516 0.2555  3 U 2.81-2.94
Se 0.7355 0.7355 0.7355  3 U 2.89, 1 La 3.14
Se 0.7446 0.3401 0.0484  3 U 2.81-2.94
Se 0.9516 0.2555 0.6599  3 U 2.81-2.94

Output
ΔE_f (raw), meV/atom: -913



[5]
Computed, not measured: an optimized crystal structure of Rb2MgBiF6 at the GGA-PBE level of DFT.

abc: 6.6561 6.6561 6.6561
angles: 125.31 125.31 81.03
Last column: nearest neighbours and their distance in Å.
Atoms (fractional coordinates):
Rb 0.2500 0.7500 0.5000  12 F 3.11-3.33
Rb 0.7500 0.2500 0.5000  12 F 3.11-3.33
Mg 0.0000 0.0000 0.0000  6 F 1.98-2.04
Bi 0.5000 0.5000 0.0000  4 F 2.29
F 0.1961 0.1961 0.0000  1 Mg 1.98
F 0.2357 0.2357 0.4713  1 Mg 2.04
F 0.2357 0.7643 0.0000  1 Mg 2.04
F 0.7643 0.2357 0.0000  1 Mg 2.04
F 0.7643 0.7643 0.5287  1 Mg 2.04
F 0.8039 0.8039 0.0000  1 Mg 1.98

Output
ΔE_f (raw), meV/atom: -2691



[6]
Computed, not measured: an optimized crystal structure of Ba2CoMo at the GGA-PBE level of DFT.

abc: 8.7193 8.7193 8.7193
angles: 93.80 93.80 150.17
Last column: nearest neighbours and their distance in Å.
Atoms (fractional coordinates):
Ba 0.3750 0.1956 0.3206  2 Co 3.15
Ba 0.8044 0.1250 0.1794  2 Co 3.15
Ba 0.8750 0.0544 0.6794  2 Co 3.15
Ba 0.9456 0.6250 0.8206  2 Co 3.15
Co 0.0000 0.0000 0.0000  2 Mo 2.24
Co 0.7500 0.2500 0.5000  2 Mo 2.24
Mo 0.2500 0.7500 0.5000  2 Co 2.24
Mo 0.5000 0.5000 0.0000  2 Co 2.24

Output
Distance to the lowest polymorph of the same formula, meV/atom: 213



[7]
Computed, not measured: an optimized crystal structure of NaLuCdGa at the GGA-PBE level of DFT.

abc: 5.0540 5.0540 5.0540
angles: 60.00 60.00 60.00
Last column: nearest neighbours and their distance in Å.
Atoms (fractional coordinates):
Na 0.0000 0.0000 0.0000  4 Cd 3.09, 4 Ga 3.09
Lu 0.5000 0.5000 0.5000  4 Cd 3.09, 4 Ga 3.09
Cd 0.7500 0.7500 0.7500  4 Na 3.09, 4 Lu 3.09
Ga 0.2500 0.2500 0.2500  4 Na 3.09, 4 Lu 3.09



[8]
Computed, not measured: an optimized crystal structure of V3CSe3 at the GGA-PBE level of DFT.

abc: 7.0425 3.2234 9.7870
angles: 90.00 91.53 90.00
Last column: nearest neighbours and their distance in Å.
Atoms (fractional coordinates):
V 0.0849 0.2500 0.4016  3 C 2.03-2.11
V 0.1199 0.2500 0.8132  1 C 2.00
V 0.2937 0.7500 0.6176  2 C 2.08
V 0.7063 0.2500 0.3824  2 C 2.08
V 0.8801 0.7500 0.1868  1 C 2.00
V 0.9151 0.7500 0.5984  3 C 2.03-2.11
C 0.1078 0.2500 0.6089  6 V 2.00-2.11
C 0.8922 0.7500 0.3911  6 V 2.00-2.11
Se 0.1302 0.2500 0.1314  3 V 2.46-2.67
Se 0.3734 0.7500 0.8636  3 V 2.45-2.46
Se 0.3812 0.7500 0.3771  3 V 2.45-2.65
Se 0.6188 0.2500 0.6229  3 V 2.45-2.65
Se 0.6266 0.2500 0.1364  3 V 2.45-2.46
Se 0.8698 0.7500 0.8686  3 V 2.46-2.67

Output
ΔE_f (raw), meV/atom: -634



Total energy in eV per atom, matching the order above: -4.234; -6.409; -3.323; -7.615; -4.555; -4.602; -2.625; -7.353